VASP calculation (GGA+U) on a relaxed structure of LiZnFe4O8.

## Properties
Total energy, eV/atom: -5.801
Crystal system: trigonal
Magnetization, μB per formula unit: 9.01
DOS at the Fermi energy, states/eV/atom: 0.065
Theoretical density, g cm⁻³: 4.90

Unit cell a=5.8279 b=5.8279 c=14.6598 alpha=90.00 beta=90.00 gamma=120.00
Last column: nearest neighbours and their distance in Å.
Space group R3m (No. 160, hexagonal axes)
Asymmetric unit:
Li (0.0000, 0.0000, 0.0000) [3 per cell]  4 O 1.94-2.11
Zn (0.0000, 0.0000, 0.6208) [3 per cell]  6 O 2.08-2.10
Fe (0.0000, 0.0000, 0.2420) [3 per cell]  4 O 1.91-2.00
Fe (0.1712, 0.3424, 0.4515) [9 per cell]  6 O 1.90-2.03
O (0.0000, 0.0000, 0.3783) [3 per cell]  4 Fe 2.00-2.03
O (0.0000, 0.0000, 0.8561) [3 per cell]  3 Fe 1.94, 1 Li 2.11
O (0.0244, 0.5122, 0.3812) [9 per cell]  2 Fe 1.90, 1 Li 1.94, 1 Zn 2.08
O (0.1756, 0.3512, 0.1940) [9 per cell]  3 Fe 1.91-2.00, 1 Zn 2.10